SrSi2Pt8 | PBE | optimized geometry

## Properties
symmetry: P4/mmm, No. 123
formation energy without anion corrections: -334.9 meV per atom
total DFT energy (no corrections): -64.54 eV per cell

abc: 5.3862 5.3862 8.2818
angles: 90.00 90.00 90.00
Atoms (fractional coordinates):
Sr 0.5000 0.5000 0.5000
Si 0.5000 0.0000 0.0000
Si 0.0000 0.5000 0.0000
Pt 0.7517 0.7517 0.1891
Pt 0.7517 0.2483 0.8109
Pt 0.7517 0.7517 0.8109
Pt 0.7517 0.2483 0.1891
Pt 0.2483 0.7517 0.1891
Pt 0.2483 0.7517 0.8109
Pt 0.2483 0.2483 0.1891
Pt 0.2483 0.2483 0.8109

=====

SrSi4Pt12 | PBE | optimized geometry

## Properties
symmetry: Im-3, No. 204
formation energy without anion corrections: -402.3 meV per atom
total DFT energy (no corrections): -102.70 eV per cell

abc: 7.3099 7.3099 7.3099
angles: 109.47 109.47 109.47
Atoms (fractional coordinates):
Sr 0.0000 0.0000 0.0000
Si 0.0000 0.5000 0.0000
Si 0.5000 0.0000 0.0000
Si 0.5000 0.5000 0.5000
Si 0.0000 0.0000 0.5000
Pt 0.8361 0.3428 0.1789
Pt 0.3428 0.5067 0.1639
Pt 0.8211 0.1639 0.6572
Pt 0.3428 0.1789 0.8361
Pt 0.1789 0.8361 0.3428
Pt 0.6572 0.4933 0.8361
Pt 0.5067 0.1639 0.3428
Pt 0.4933 0.8361 0.6572
Pt 0.6572 0.8211 0.1639
Pt 0.8361 0.6572 0.4933
Pt 0.1639 0.3428 0.5067
Pt 0.1639 0.6572 0.8211

=====

Sr2Si2Pt | PBE | optimized geometry

## Properties
symmetry: Amm2, No. 38
energy above the lowest structure with this stoichiometry: 0.0000 eV per atom
formation energy without anion corrections: -567.5 meV per atom
total DFT energy (no corrections): -23.09 eV per cell

abc: 4.5376 4.1479 6.7199
angles: 107.98 90.00 90.00
Atoms (fractional coordinates):
Sr 0.0000 0.6824 0.3648
Sr 0.0000 0.9336 0.8672
Si 0.5000 0.3100 0.6199
Si 0.5000 0.5032 0.0065
Pt 0.5000 0.1129 0.2258

=====

Sr2Si5Pt3 | PBE | optimized geometry

## Properties
symmetry: C2/c, No. 15
formation energy without anion corrections: -804.3 meV per atom
total DFT energy (no corrections): -113.29 eV per cell

abc: 6.0857 8.4030 8.4030
angles: 90.45 68.72 68.72
Atoms (fractional coordinates):
Sr 0.2636 0.8650 0.6077
Sr 0.2364 0.3923 0.1350
Sr 0.7364 0.1350 0.3923
Sr 0.7636 0.6077 0.8650
Si 0.3546 0.0313 0.2590
Si 0.1454 0.7410 0.9687
Si 0.6454 0.9687 0.7410
Si 0.8546 0.2590 0.0313
Si 0.2500 0.2332 0.7668
Si 0.7500 0.7668 0.2332
Si 0.2500 0.4998 0.5002
Si 0.7500 0.5002 0.4998
Si 0.2500 0.7670 0.2330
Si 0.7500 0.2330 0.7670
Pt 0.1130 0.2529 0.5209
Pt 0.3870 0.4791 0.7471
Pt 0.8870 0.7471 0.4791
Pt 0.6130 0.5209 0.2529
Pt 0.2500 0.0004 0.9996
Pt 0.7500 0.9996 0.0004

=====

SrSiPt | PBE | optimized geometry

## Properties
symmetry: P2_13, No. 198
formation energy without anion corrections: -997.8 meV per atom
total DFT energy (no corrections): -64.56 eV per cell

abc: 6.5435 6.5435 6.5435
angles: 90.00 90.00 90.00
Atoms (fractional coordinates):
Sr 0.1301 0.1301 0.1301
Sr 0.8699 0.6301 0.3699
Sr 0.3699 0.8699 0.6301
Sr 0.6301 0.3699 0.8699
Si 0.3394 0.6606 0.1606
Si 0.6606 0.1606 0.3394
Si 0.1606 0.3394 0.6606
Si 0.8394 0.8394 0.8394
Pt 0.5883 0.9117 0.0883
Pt 0.4117 0.4117 0.4117
Pt 0.9117 0.0883 0.5883
Pt 0.0883 0.5883 0.9117

=====

SrSi2Pt5 | PBE | optimized geometry

## Properties
symmetry: Immm, No. 71
formation energy without anion corrections: -830.5 meV per atom
total DFT energy (no corrections): -49.38 eV per cell

abc: 3.9712 6.4136 6.4136
angles: 66.66 71.97 71.97
Atoms (fractional coordinates):
Sr 0.0000 0.0000 0.0000
Si 0.7586 0.7414 0.7414
Si 0.2414 0.2586 0.2586
Pt 0.0000 0.5000 0.5000
Pt 0.6524 0.5457 0.1495
Pt 0.3476 0.4543 0.8505
Pt 0.3476 0.8505 0.4543
Pt 0.6524 0.1495 0.5457

=====

SrSi4Pt6 | PBE | optimized geometry

## Properties
symmetry: I-42m, No. 121
formation energy without anion corrections: -679.8 meV per atom
total DFT energy (no corrections): -67.10 eV per cell

abc: 6.4369 6.4369 6.4369
angles: 96.64 116.24 116.24
Atoms (fractional coordinates):
Sr 0.0000 0.0000 0.0000
Si 0.0000 0.1442 0.5439
Si 0.6003 0.4561 0.4561
Si 0.0000 0.5439 0.1442
Si 0.3997 0.8558 0.8558
Pt 0.0000 0.7839 0.4792
Pt 0.0000 0.4792 0.7839
Pt 0.6953 0.2161 0.2161
Pt 0.5000 0.0000 0.5000
Pt 0.3047 0.5208 0.5208
Pt 0.5000 0.5000 0.0000

=====

Sr2Si3Pt6 | PBE | optimized geometry

## Properties
symmetry: P-62m, No. 189
formation energy without anion corrections: -805.0 meV per atom
total DFT energy (no corrections): -64.73 eV per cell

abc: 4.2560 7.4980 7.4980
angles: 120.00 90.00 90.00
Atoms (fractional coordinates):
Sr 0.0000 0.6667 0.3333
Sr 0.0000 0.3333 0.6667
Si 0.5000 0.3616 0.3616
Si 0.5000 0.6384 0.0000
Si 0.5000 0.0000 0.6384
Pt 0.5000 0.6836 0.6836
Pt 0.5000 0.0000 0.3164
Pt 0.0000 0.2116 0.2116
Pt 0.0000 0.7884 0.0000
Pt 0.5000 0.3164 0.0000
Pt 0.0000 0.0000 0.7884

=====

Sr3Si2Pt3 | PBE | optimized geometry

## Properties
symmetry: Pnma, No. 62
formation energy without anion corrections: -930.7 meV per atom
total DFT energy (no corrections): -165.84 eV per cell

abc: 6.2269 7.9782 14.9419
angles: 90.00 90.00 90.00
Atoms (fractional coordinates):
Sr 0.1364 0.4841 0.3914
Sr 0.6364 0.0159 0.6086
Sr 0.8636 0.5159 0.8914
Sr 0.3636 0.9841 0.1086
Sr 0.8636 0.5159 0.6086
Sr 0.3636 0.9841 0.3914
Sr 0.1364 0.4841 0.1086
Sr 0.6364 0.0159 0.8914
Sr 0.5971 0.3370 0.2500
Sr 0.0971 0.1630 0.7500
Sr 0.4029 0.6630 0.7500
Sr 0.9029 0.8370 0.2500
Si 0.8744 0.1459 0.4072
Si 0.3744 0.3541 0.5928
Si 0.1256 0.8541 0.9072
Si 0.6256 0.6459 0.0928
Si 0.1256 0.8541 0.5928
Si 0.6256 0.6459 0.4072
Si 0.8744 0.1459 0.0928
Si 0.3744 0.3541 0.9072
Pt 0.0391 0.1881 0.2500
Pt 0.5391 0.3119 0.7500
Pt 0.9609 0.8119 0.7500
Pt 0.4609 0.6881 0.2500
Pt 0.6140 0.3517 0.4592
Pt 0.1140 0.1483 0.5408
Pt 0.3860 0.6483 0.9592
Pt 0.8860 0.8517 0.0408
Pt 0.3860 0.6483 0.5408
Pt 0.8860 0.8517 0.4592
Pt 0.6140 0.3517 0.0408
Pt 0.1140 0.1483 0.9592

=====

SrSiPt | PBE | optimized geometry

## Properties
symmetry: F-43m, No. 216
formation energy without anion corrections: 502.8 meV per atom
total DFT energy (no corrections): -11.64 eV per cell

abc: 4.8587 4.8587 4.8587
angles: 60.00 60.00 60.00
Atoms (fractional coordinates):
Pt 0.0000 0.0000 0.0000
Si 0.5000 0.5000 0.5000
Sr 0.7500 0.7500 0.7500

=====

> Number 3 is which compound?

Sr2Si2Pt